Record 1
First-principles (GGA-PBEsol) data for crystalline MgAl2Cd at its relaxed geometry, as listed in Alexandria.

a = 3.066 Å, b = 3.066 Å, c = 9.475 Å
α = 80.69°, β = 80.69°, γ = 60.00°
Element x y z (fractional)
Cd (0.498, 0.498, 0.507)
Al (0.003, 0.003, 0.990)
Al (0.747, 0.747, 0.759)
Mg (0.252, 0.252, 0.243)

Calculated values
The energy relative to the elements is 0.0355 eV/atom. The density of states at the Fermi level comes out at 0.41 states/eV per atom. Its total magnetization is 0.000 μB/atom.

Record 2
First-principles (GGA-PBEsol) data for crystalline Zr2SbPb at its relaxed geometry, as listed in Alexandria.

a = 3.442 Å, b = 3.442 Å, c = 7.615 Å
α = 90.00°, β = 90.00°, γ = 90.00°
Element x y z (fractional)
Pb (0.500, 0.500, 0.000)
Sb (0.500, 0.500, 0.500)
Zr (0.000, 0.000, 0.276)
Zr (0.000, 0.000, 0.724)

Calculated values
For the formation energy (no corrections), the calculation gives -0.38 eV per atom. The calculation puts the energy above the most stable polymorph in this dataset at 7 meV/atom. The density of states at the Fermi level comes out at 0.85 states/eV per atom. Its total magnetization is 0.000 μB/atom.

Record 3
First-principles (GGA-PBEsol) data for crystalline LaSbI2O at its relaxed geometry, as listed in Alexandria.

a = 4.209 Å, b = 6.360 Å, c = 6.360 Å
α = 90.00°, β = 90.00°, γ = 90.00°
Site moments in Bohr magnetons follow the coordinates.
Element x y z (fractional)
Sb (0.500, 0.500, 0.500)  0.06
I (0.000, 0.000, 0.500)  0.00
La (0.000, 0.000, 0.000)  0.03
I (0.000, 0.500, 0.000)  0.00
O (0.500, 0.000, 0.000)  0.06

Calculated values
For the formation energy (no corrections), the calculation gives -0.97 eV per atom. The density of states at the Fermi level comes out at 0.88 states/eV per atom. Its total magnetization is 0.052 μB/atom.

Record 4
First-principles (GGA-PBEsol) data for crystalline CrRu2W at its relaxed geometry, as listed in Alexandria.

a = 2.713 Å, b = 3.688 Å, c = 5.419 Å
α = 90.00°, β = 90.00°, γ = 90.00°
Element x y z (fractional)
W (0.000, 0.000, 0.500)
Ru (0.000, 0.000, 0.981)
Ru (0.500, 0.500, 0.249)
Cr (0.500, 0.500, 0.770)

Calculated values
The energy relative to the elements is 0.1789 eV/atom. The calculation puts the energy above the most stable polymorph in this dataset at 0 meV/atom. The density of states at the Fermi level comes out at 1.21 states/eV per atom. Its total magnetization is 0.000 μB/atom.

Record 5
First-principles (GGA-PBEsol) data for crystalline Tb3MnB7 at its relaxed geometry, as listed in Alexandria.

a = 3.407 Å, b = 8.029 Å, c = 9.265 Å
α = 90.00°, β = 90.00°, γ = 102.25°
Site moments in Bohr magnetons follow the coordinates.
Element x y z (fractional)
Tb (0.896, 0.792, 0.939)  -0.01
B (0.630, 0.260, 0.653)  -0.03
B (0.461, 0.921, 0.750)  0.00
Tb (0.241, 0.482, 0.750)  0.00
B (0.522, 0.044, 0.598)  0.00
B (0.370, 0.740, 0.153)  0.34
Mn (0.946, 0.892, 0.250)  0.00
Tb (0.104, 0.208, 0.439)  -0.01
B (0.370, 0.740, 0.347)  -0.03
B (0.630, 0.260, 0.847)  0.34
B (0.522, 0.044, 0.902)  0.00
B (0.539, 0.079, 0.250)  0.00
Mn (0.054, 0.108, 0.750)  0.00
Tb (0.104, 0.208, 0.061)  -0.01
B (0.727, 0.455, 0.968)  -0.03
B (0.273, 0.545, 0.032)  -0.03
Tb (0.759, 0.518, 0.250)  0.00
B (0.478, 0.956, 0.098)  0.00
B (0.727, 0.455, 0.532)  -0.03
B (0.478, 0.956, 0.402)  0.00
B (0.273, 0.545, 0.468)  -0.03
Tb (0.896, 0.792, 0.561)  -0.01

Calculated values
The energy relative to the elements is -0.6469 eV/atom. The density of states at the Fermi level comes out at 0.41 states/eV per atom. Its total magnetization is 0.020 μB/atom.

Record 6
First-principles (GGA-PBEsol) data for crystalline Li4ScIn at its relaxed geometry, as listed in Alexandria.

a = 5.298 Å, b = 5.298 Å, c = 5.298 Å
α = 60.00°, β = 60.00°, γ = 60.00°
Element x y z (fractional)
Li (0.375, 0.876, 0.375)
Li (0.375, 0.375, 0.876)
Sc (0.750, 0.750, 0.750)
Li (0.375, 0.375, 0.375)
In (0.000, 0.000, 0.000)
Li (0.876, 0.375, 0.375)

Calculated values
The energy relative to the elements is -0.1113 eV/atom. The density of states at the Fermi level comes out at 0.26 states/eV per atom. Its total magnetization is 0.000 μB/atom.

Record 7
First-principles (GGA-PBEsol) data for crystalline YInSb2 at its relaxed geometry, as listed in Alexandria.

a = 4.067 Å, b = 4.991 Å, c = 4.973 Å
α = 90.00°, β = 90.00°, γ = 90.00°
Element x y z (fractional)
Sb (0.000, 0.000, 0.000)
Y (0.500, 0.500, 0.000)
In (0.500, 0.000, 0.500)
Sb (0.000, 0.500, 0.500)

Calculated values
For the formation energy (no corrections), the calculation gives -0.51 eV per atom. The density of states at the Fermi level comes out at 0.51 states/eV per atom. Its total magnetization is 0.000 μB/atom.

Record 8
First-principles (GGA-PBEsol) data for crystalline CaLaCo2 at its relaxed geometry, as listed in Alexandria.

a = 3.878 Å, b = 4.004 Å, c = 6.922 Å
α = 106.81°, β = 106.27°, γ = 90.00°
Site moments in Bohr magnetons follow the coordinates.
Element x y z (fractional)
Ca (0.251, 0.251, 0.503)  -0.03
La (0.506, 0.006, 0.013)  -0.10
Co (0.086, 0.586, 0.172)  0.57
Co (0.656, 0.656, 0.312)  0.58

Calculated values
The energy relative to the elements is 0.1730 eV/atom. The density of states at the Fermi level comes out at 0.74 states/eV per atom. Its total magnetization is 0.213 μB/atom.

Record 9
First-principles (GGA-PBEsol) data for crystalline Ca2AgPb2 at its relaxed geometry, as listed in Alexandria.

a = 4.829 Å, b = 7.564 Å, c = 7.564 Å
α = 90.00°, β = 90.00°, γ = 90.00°
Element x y z (fractional)
Pb (0.000, 0.855, 0.645)
Ca (0.500, 0.836, 0.336)
Ca (0.500, 0.164, 0.664)
Ca (0.500, 0.336, 0.164)
Pb (0.000, 0.355, 0.855)
Ca (0.500, 0.664, 0.836)
Ag (0.000, 0.500, 0.500)
Pb (0.000, 0.145, 0.355)
Ag (0.000, 0.000, 0.000)
Pb (0.000, 0.645, 0.145)

Calculated values
The energy relative to the elements is -0.3872 eV/atom. The density of states at the Fermi level comes out at 0.47 states/eV per atom. Its total magnetization is 0.000 μB/atom.

Record 10
First-principles (GGA-PBEsol) data for crystalline Tl2OsRh at its relaxed geometry, as listed in Alexandria.

a = 4.661 Å, b = 4.661 Å, c = 4.661 Å
α = 60.00°, β = 60.00°, γ = 60.00°
Site moments in Bohr magnetons follow the coordinates.
Element x y z (fractional)
Tl (0.000, 0.000, 0.000)  0.00
Tl (0.250, 0.250, 0.250)  0.00
Os (0.500, 0.500, 0.500)  0.48
Rh (0.750, 0.750, 0.750)  0.25

Calculated values
The energy relative to the elements is 0.9578 eV/atom. The calculation puts the energy above the most stable polymorph in this dataset at 116 meV/atom. The density of states at the Fermi level comes out at 1.48 states/eV per atom. Its total magnetization is 0.191 μB/atom.

Record 11
First-principles (GGA-PBEsol) data for crystalline InFe2Cu at its relaxed geometry, as listed in Alexandria.

a = 2.755 Å, b = 2.755 Å, c = 8.615 Å
α = 80.80°, β = 80.80°, γ = 60.00°
Site moments in Bohr magnetons follow the coordinates.
Element x y z (fractional)
In (0.500, 0.500, 0.500)  -0.07
Fe (0.744, 0.744, 0.768)  2.55
Fe (0.256, 0.256, 0.232)  2.55
Cu (0.000, 0.000, 0.000)  0.11

Calculated values
The energy relative to the elements is 0.4773 eV/atom. The density of states at the Fermi level comes out at 1.03 states/eV per atom. Its total magnetization is 1.263 μB/atom.

Record 12
First-principles (GGA-PBEsol) data for crystalline Mg2AlCl at its relaxed geometry, as listed in Alexandria.

a = 5.022 Å, b = 5.022 Å, c = 5.022 Å
α = 60.00°, β = 60.00°, γ = 60.00°
Element x y z (fractional)
Al (0.000, 0.000, 0.000)
Mg (0.750, 0.750, 0.750)
Cl (0.500, 0.500, 0.500)
Mg (0.250, 0.250, 0.250)

Calculated values
For the formation energy (no corrections), the calculation gives 0.00 eV per atom. The calculation puts the energy above the most stable polymorph in this dataset at 444 meV/atom. The density of states at the Fermi level comes out at 0.81 states/eV per atom. Its total magnetization is 0.000 μB/atom.

Number 1: E -2.739 eV/atom. Number 2: E -7.062 eV/atom. Number 3: E -4.712 eV/atom. Number 4: E -10.920 eV/atom. Number 5: E -7.366 eV/atom. Number 6: E -3.020 eV/atom. Number 7: E -5.242 eV/atom. Number 8: E -5.565 eV/atom. Number 9: E -3.502 eV/atom. Number 10: E -5.446 eV/atom. Number 11: E -5.834 eV/atom. Number 12: E -2.380 eV/atom.